# 1
Computed, not measured: crystalline Cd2MoOs at its relaxed geometry at the PBE level of DFT.

Properties
Polymorph energy (0 for the lowest one) = 0.040 eV per atom
Magnetic moment = 0.0 μB/f.u.
Calculated volume = 71.60 Å³/f.u.
Formation energy = 230 meV/atom

Cell lengths 2.8682, 2.8682, 30.1517 Å; angles 90.00, 90.00, 120.00 degrees
Space group R3m (No. 160, hexagonal axes)
Asymmetric unit:
Cd (0.0000, 0.0000, 0.0000)
Cd (0.0000, 0.0000, 0.2366)
Mo (0.0000, 0.0000, 0.4847)
Os (0.0000, 0.0000, 0.7503)


# 2
Computed, not measured: crystalline PrNdAsP at its relaxed geometry at the PBE level of DFT.

Properties
Magnetic moment = 0.0 μB/f.u.
Calculated volume = 107.78 Å³/f.u.
Formation energy = -1507 meV/atom

Cell lengths 4.2416, 4.2416, 5.9907 Å; angles 90.00, 90.00, 90.00 degrees
Space group P4/mmm (No. 123)
Asymmetric unit:
Pr (0.0000, 0.0000, 0.0000)
Nd (0.5000, 0.5000, 0.5000)
As (0.5000, 0.5000, 0.0000)
P (0.0000, 0.0000, 0.5000)


# 3
Computed, not measured: crystalline La2Sm3In3 at its relaxed geometry at the PBE level of DFT.

Properties
Polymorph energy (0 for the lowest one) = 0.000 eV per atom
Magnetic moment = 0.0 μB/f.u.
Calculated volume = 240.34 Å³/f.u.
Formation energy = -362 meV/atom

Cell lengths 4.5833, 4.9978, 20.9846 Å; angles 90.00, 90.00, 90.00 degrees
Space group Immm (No. 71)
Asymmetric unit:
La (0.0000, 0.0000, 0.2384)
Sm (0.0000, 0.0000, 0.0000)
Sm (0.0000, 0.5000, 0.1170)
In (0.0000, 0.0000, 0.5000)
In (0.0000, 0.5000, 0.3787)


# 4
Computed, not measured: crystalline Sr3TcPd at its relaxed geometry at the PBE level of DFT.

Properties
Polymorph energy (0 for the lowest one) = 0.000 eV per atom
Magnetic moment = 3.6 μB/f.u.
Calculated volume = 195.37 Å³/f.u.
Formation energy = 565 meV/atom

Cell lengths 5.8026, 5.8026, 5.8026 Å; angles 90.00, 90.00, 90.00 degrees
Space group Pm-3m (No. 221)
Asymmetric unit:
Sr (0.0000, 0.0000, 0.5000)
Tc (0.5000, 0.5000, 0.5000)
Pd (0.0000, 0.0000, 0.0000)